AcZnF4 (PBE, optimized geometry); mass density = 6.71 g/cm³; total magnetic moment = 0.00 μB/cell; ΔE_f (raw) = -3.21 eV/atom; N(E_F) = 1.99 states/eV/cell
1.0
4.2160 -0.2482 0.0000
-1.1014 7.1424 0.0000
-1.5573 -3.4471 6.1084
F Ac Zn
8 2 2
direct
0.2254 0.3291 0.3862 F
0.3393 0.9429 0.6138 F
0.7746 0.6709 0.6138 F
0.8858 0.7438 0.1422 F
0.2436 0.6016 0.8578 F
0.1142 0.2562 0.8578 F
0.6607 0.0571 0.3862 F
0.7564 0.3984 0.1422 F
0.3908 0.6408 0.2816 Ac
0.6092 0.3592 0.7184 Ac
0.1854 0.9354 0.8707 Zn
0.8146 0.0646 0.1293 Zn